# MnFeCu2

A relaxed structure of MnFeCu2 (PBE, Alexandria via LeMat-Bulk).

```
4
Lattice="-1.826 1.826 3.715 1.826 -1.826 3.715 1.826 1.826 -3.715" Properties=species:S:1:pos:R:3 pbc="T T T"
Mn 0.000 0.000 0.000
Fe 0.000 1.826 1.858
Cu 1.826 0.000 1.858
Cu 0.000 0.000 3.715
```

Calculated values
The calculation puts the energy of formation from the pure elements at 0.23 eV per atom. The calculation puts the density of states at the Fermi level at 4.67 states/eV/cell.